(1)
Here is a relaxed structure of KOs2Br11 from Alexandria via LeMat-Bulk. Energies are from GGA-PBE.

CIF file:
```
data_KOs2Br11
_chemical_formula_sum 'K2 Os4 Br22'
_cell_length_a 11.192
_cell_length_b 11.176
_cell_length_c 11.293
_cell_angle_alpha 78.02
_cell_angle_beta 59.61
_cell_angle_gamma 60.64
_symmetry_space_group_name_H-M 'P 1'
_symmetry_Int_Tables_number 1
loop_
_symmetry_equiv_pos_as_xyz
'x,y,z'
loop_
_atom_site_label
_atom_site_fract_x
_atom_site_fract_y
_atom_site_fract_z
Br1 0.389 0.918 0.082
Br2 0.287 0.672 0.066
Br3 0.469 0.173 0.564
Br4 0.006 0.019 0.724
Br5 0.954 0.318 0.419
Br6 0.024 0.934 0.328
Br7 0.302 0.920 0.822
Br8 0.203 0.680 0.578
Br9 0.912 0.653 0.347
Br10 0.750 0.276 0.981
Br11 0.562 0.422 0.578
Br12 0.205 0.436 0.827
Br13 0.807 0.825 0.912
Br14 0.461 0.422 0.320
Br15 0.043 0.178 0.080
Br16 0.763 0.517 0.226
Br17 0.602 0.161 0.839
Br18 0.692 0.581 0.682
Br19 0.109 0.419 0.581
Br20 0.544 0.088 0.175
Br21 0.507 0.774 0.483
Br22 0.935 0.923 0.077
Os1 0.776 0.054 0.946
Os2 0.173 0.927 0.073
Os3 0.730 0.550 0.450
Os4 0.325 0.429 0.571
K1 0.245 0.355 0.125
K2 0.724 0.875 0.645
```

Calculated values
Energy relative to the elements, uncorrected = -0.32 eV per atom
Electronic total energy = -0.2434 Ry/atom

***

(2)
Here is a relaxed structure of K2OsBr6 from Alexandria via LeMat-Bulk. Energies are from GGA-PBE.

CIF file:
```
data_K2OsBr6
_chemical_formula_sum 'K2 Os1 Br6'
_cell_length_a 7.553
_cell_length_b 7.403
_cell_length_c 7.403
_cell_angle_alpha 60.03
_cell_angle_beta 59.70
_cell_angle_gamma 59.70
_symmetry_space_group_name_H-M 'P 1'
_symmetry_Int_Tables_number 1
loop_
_symmetry_equiv_pos_as_xyz
'x,y,z'
loop_
_atom_site_label
_atom_site_fract_x
_atom_site_fract_y
_atom_site_fract_z
Br1 0.207 0.787 0.265
Br2 0.714 0.238 0.238
Br3 0.793 0.213 0.735
Br4 0.207 0.265 0.787
Br5 0.286 0.762 0.762
Br6 0.793 0.735 0.213
K1 0.250 0.249 0.249
K2 0.750 0.751 0.751
Os1 0.000 0.000 0.000
```

Calculated values
Energy relative to the elements, uncorrected = -0.87 eV per atom
Electronic total energy = -0.2552 Ry/atom

***

(3)
Here is a relaxed structure of KOs4Br from Alexandria via LeMat-Bulk. Energies are from GGA-PBE.

CIF file:
```
data_KOs4Br
_chemical_formula_sum 'K1 Os4 Br1'
_cell_length_a 5.385
_cell_length_b 5.385
_cell_length_c 5.385
_cell_angle_alpha 60.00
_cell_angle_beta 60.00
_cell_angle_gamma 60.00
_symmetry_space_group_name_H-M 'P 1'
_symmetry_Int_Tables_number 1
loop_
_symmetry_equiv_pos_as_xyz
'x,y,z'
loop_
_atom_site_label
_atom_site_fract_x
_atom_site_fract_y
_atom_site_fract_z
Os1 0.375 0.875 0.375
Os2 0.375 0.375 0.875
Os3 0.375 0.375 0.375
Os4 0.875 0.375 0.375
Br1 0.750 0.750 0.750
K1 0.000 0.000 0.000
```

Calculated values
Energy relative to the elements, uncorrected = 1.51 eV per atom
Electronic total energy = -0.4731 Ry/atom

***

Which value of energy relative to the elements, uncorrected does entry 3 give?
1.51 eV per atom

***

What is the formula in the second record?
K2OsBr6

***

Look up the energy relative to the elements, uncorrected of the third one.
1.51 eV per atom

***

Among the records above, which one has the lowest energy relative to the elements, uncorrected?
K2OsBr6